# 1
This record from the Alexandria database describes crystalline ZnSn at its relaxed geometry. The functional is PBE. Values from VASP.

Structure (Quantum ESPRESSO input):
```
&SYSTEM
  ibrav = 0, nat = 16, ntyp = 2
/
ATOMIC_SPECIES
Sn 118.71 Sn.upf
Zn 65.41 Zn.upf
CELL_PARAMETERS angstrom
9.497 0.000 0.000
0.000 9.497 0.000
0.000 0.000 4.489
ATOMIC_POSITIONS crystal
Sn 0.641 0.164 0.500
Sn 0.336 0.141 0.000
Sn 0.664 0.859 0.000
Sn 0.359 0.836 0.500
Sn 0.859 0.336 0.000
Sn 0.836 0.641 0.500
Sn 0.164 0.359 0.500
Sn 0.141 0.664 0.000
Zn 0.938 0.178 0.500
Zn 0.822 0.938 0.500
Zn 0.062 0.822 0.500
Zn 0.178 0.062 0.500
Zn 0.322 0.438 0.000
Zn 0.438 0.678 0.000
Zn 0.678 0.562 0.000
Zn 0.562 0.322 0.000
```

Output
ρ: 6.04 g cm⁻³
DOS(E_F): 0.579 states/eV/f.u.
Total magnetic moment: 0.00 μB/f.u.
ΔE_f: 0.142 eV/atom

---

# 2
This record from the Alexandria database describes crystalline ZnSn3 at its relaxed geometry. The functional is PBE. Values from VASP.

Structure (Quantum ESPRESSO input):
```
&SYSTEM
  ibrav = 0, nat = 4, ntyp = 2
/
ATOMIC_SPECIES
Sn 118.71 Sn.upf
Zn 65.41 Zn.upf
CELL_PARAMETERS angstrom
-2.368 -4.322 -1.728
2.229 -4.666 0.726
-2.069 -3.381 3.400
ATOMIC_POSITIONS crystal
Sn 0.500 0.500 0.500
Sn 0.750 0.750 0.750
Sn 0.250 0.250 0.250
Zn 0.000 0.000 0.000
```

Output
ρ: 6.95 g cm⁻³
DOS(E_F): 3.666 states/eV/f.u.
Total magnetic moment: 0.00 μB/f.u.
ΔE_f: 0.163 eV/atom

---

# 3
This record from the Alexandria database describes crystalline ZnSn3 at its relaxed geometry. The functional is PBE. Values from VASP.

Structure (Quantum ESPRESSO input):
```
&SYSTEM
  ibrav = 0, nat = 4, ntyp = 2
/
ATOMIC_SPECIES
Sn 118.71 Sn.upf
Zn 65.41 Zn.upf
CELL_PARAMETERS angstrom
3.408 0.000 0.000
0.000 4.902 0.000
0.000 0.000 6.096
ATOMIC_POSITIONS crystal
Sn 0.500 0.000 0.525
Sn 0.000 0.500 0.298
Sn 0.500 0.500 0.852
Zn 0.000 0.000 0.992
```

Output
ρ: 6.87 g cm⁻³
DOS(E_F): 1.732 states/eV/f.u.
Total magnetic moment: 0.00 μB/f.u.
ΔE_f: 0.123 eV/atom

---

# 4
This record from the Alexandria database describes crystalline ZnSn at its relaxed geometry. The functional is PBE. Values from VASP.

Structure (Quantum ESPRESSO input):
```
&SYSTEM
  ibrav = 0, nat = 8, ntyp = 2
/
ATOMIC_SPECIES
Zn 65.41 Zn.upf
Sn 118.71 Sn.upf
CELL_PARAMETERS angstrom
-1.930 -4.551 -3.670
1.187 -4.089 4.447
-5.725 0.687 2.160
ATOMIC_POSITIONS crystal
Zn 0.250 0.250 0.250
Zn 0.750 0.750 0.250
Zn 0.750 0.250 0.750
Zn 0.250 0.750 0.750
Sn 0.500 0.500 0.000
Sn 0.500 0.000 0.500
Sn 0.000 0.500 0.500
Sn 0.000 0.000 0.000
```

Output
ρ: 5.24 g cm⁻³
DOS(E_F): 1.325 states/eV/f.u.
Total magnetic moment: 0.00 μB/f.u.
ΔE_f: 0.363 eV/atom

---

# 5
This record from the Alexandria database describes crystalline Zn12Sn at its relaxed geometry. The functional is PBE. Values from VASP.

Structure (Quantum ESPRESSO input):
```
&SYSTEM
  ibrav = 0, nat = 13, ntyp = 2
/
ATOMIC_SPECIES
Zn 65.41 Zn.upf
Sn 118.71 Sn.upf
CELL_PARAMETERS angstrom
4.957 0.000 2.002
2.478 6.321 1.001
0.111 0.000 6.862
ATOMIC_POSITIONS crystal
Zn 0.648 0.352 0.352
Zn 0.277 0.223 0.223
Zn 0.500 0.500 0.000
Zn 0.000 0.648 0.352
Zn 0.500 0.223 0.777
Zn 0.723 0.777 0.777
Zn 0.000 0.000 0.500
Zn 0.500 0.777 0.223
Zn 0.000 0.500 0.000
Zn 0.500 0.000 0.500
Zn 0.352 0.648 0.648
Zn 0.000 0.352 0.648
Sn 0.000 0.000 0.000
```

Output
ρ: 7.02 g cm⁻³
DOS(E_F): 2.907 states/eV/f.u.
Total magnetic moment: 0.00 μB/f.u.
ΔE_f: 0.051 eV/atom

---

# 6
This record from the Alexandria database describes crystalline ZnSn at its relaxed geometry. The functional is PBE. Values from VASP.

Structure (Quantum ESPRESSO input):
```
&SYSTEM
  ibrav = 0, nat = 4, ntyp = 2
/
ATOMIC_SPECIES
Sn 118.71 Sn.upf
Zn 65.41 Zn.upf
CELL_PARAMETERS angstrom
-1.226 0.561 3.220
4.225 -1.501 0.146
0.948 6.126 -0.950
ATOMIC_POSITIONS crystal
Sn 0.368 0.764 0.671
Sn 0.632 0.236 0.329
Zn 0.134 0.269 0.921
Zn 0.866 0.731 0.079
```

Output
ρ: 6.82 g cm⁻³
DOS(E_F): 0.681 states/eV/f.u.
Total magnetic moment: 0.00 μB/f.u.
ΔE_f: 0.085 eV/atom